# SiIr3 (GGA-PBE, relaxed)
data_SiIr3
_chemical_formula_sum 'Si2 Ir6'
_symmetry_space_group_name_H-M 'I m m m'
_symmetry_Int_Tables_number 71
_symmetry_space_group_name_Hall '-I 2 2'
_cell_length_a 2.833
_cell_length_b 4.264
_cell_length_c 9.420
_cell_angle_alpha 90.00
_cell_angle_beta 90.00
_cell_angle_gamma 90.00
loop_
_atom_site_label
_atom_site_fract_x
_atom_site_fract_y
_atom_site_fract_z
Si1 0.000 0.000 0.000
Ir1 0.000 0.000 0.500
Ir2 0.000 0.500 0.294
# formation energy (no corrections) = -0.2110 eV per atom
# calculated total energy = -8.21 eV per atom
# density of states at the Fermi level = 6.0 states/eV/cell